Compound: YTiGa2
Source: the Alexandria database
Functional: PBE
Structure: relaxed

Unit cell a=3.4592 b=3.4592 c=24.3136 alpha=90.00 beta=90.00 gamma=120.00
Space group R-3m (No. 166, hexagonal axes)
Unique sites:
Y 0.0000 0.0000 0.0000 x3
Ti 0.0000 0.0000 0.5000 x3
Ga 0.0000 0.0000 0.2412 x6

Calculated values
Its total energy is -64.2 eV/cell. The energy of formation comes out at -242.9 meV/atom. The offset from the most stable computed form is 196.3 meV per atom.